Record 1
# LaPuZr2

An optimized crystal structure of LaPuZr2 (PBE, the Alexandria database).

Lattice parameters (Å, degrees): 3.8356 3.8356 7.3221 90.00 90.00 90.00
Last column: nearest neighbours and their distance in Å.
Space group P4/mmm (No. 123)
Inequivalent atoms, fractional coordinates:
1 La 0.0000 0.0000 0.0000  8 Zr 3.46, 2 Pu 3.66, 4 La 3.84
2 Pu 0.0000 0.0000 0.5000  8 Zr 3.10
3 Zr 0.5000 0.5000 0.2944  1 Zr 3.01, 4 Pu 3.10

Results
Uncorrected energy (eV/atom): -8.8795


Record 2
# RbLa4

An optimized crystal structure of RbLa4 (PBE, the Alexandria database).

Lattice parameters (Å, degrees): 5.8618 5.8618 5.8618 90.00 90.00 90.00
Last column: nearest neighbours and their distance in Å.
Space group Pm-3m (No. 221)
Inequivalent atoms, fractional coordinates:
1 Rb 0.0000 0.0000 0.0000  6 La 2.93
2 La 0.0000 0.0000 0.5000  2 Rb 2.93
3 La 0.5000 0.5000 0.5000  12 La 4.14

Results
Uncorrected energy (eV/atom): -3.2170


Record 3
# RbLaRe3

An optimized crystal structure of RbLaRe3 (PBE, the Alexandria database).

Lattice parameters (Å, degrees): 4.8410 4.8410 4.8410 90.00 90.00 90.00
Last column: nearest neighbours and their distance in Å.
Space group Pm-3m (No. 221)
Inequivalent atoms, fractional coordinates:
1 Rb 0.0000 0.0000 0.0000  6 Re 2.42
2 La 0.5000 0.5000 0.5000  12 Re 3.42
3 Re 0.0000 0.0000 0.5000  2 Rb 2.42

Results
Energy relative to the lowest polymorph listed for this composition (eV/f.u.): 1.43
Uncorrected energy (eV/atom): -5.3672